Record 1
Density functional theory data (GGA-PBE) for a relaxed structure of CdP2Pt.

Geometry as POSCAR:
```
CdP2Pt
1.0
5.1115 0.0021 0.0050
1.5000 4.8865 -0.0050
-2.5195 -3.5076 2.7342
Pt P Cd
1 2 1
direct
0.4630 0.4630 0.0000
0.2416 0.7416 0.5000
0.0387 0.0387 0.0000
0.7567 0.2567 0.5000
```

Results
The total DFT energy (no corrections) is -4.204 eV/atom. The crystal system is orthorhombic. Its total magnetic moment is 0.0 μB per formula unit. The calculation puts the formation energy at 240 meV/atom.

=====

Record 2
Density functional theory data (GGA-PBE) for a relaxed structure of CdP2Pt2.

Geometry as POSCAR:
```
CdP2Pt2
1.0
4.2216 0.0000 0.0000
0.0000 4.2216 0.0000
2.1108 2.1108 5.1615
Pt Cd P
2 1 2
direct
0.6346 0.6346 0.7307
0.3654 0.3654 0.2693
0.0000 0.0000 0.0000
0.2500 0.7500 0.5000
0.7500 0.2500 0.5000
```

Results
The energy relative to the lowest polymorph listed for this composition comes out at 0.1260 eV per atom. The total DFT energy (no corrections) is -4.824 eV/atom. The crystal system is tetragonal. Its total magnetic moment is 0.0 μB per formula unit. The calculation puts the formation energy at -61 meV/atom.